Entry w
A relaxed CeHo3Th crystal, computed with PBE.

Unit cell a=6.0174 b=5.9817 c=11.3300 alpha=85.22 beta=80.45 gamma=59.80
Each line ends with the local moment (μB).
Sites, in units of the cell vectors:
Th  0.8356  0.3288  0.0000  0.00
Th  0.1644  0.6712  0.0000  0.00
Ce  0.6635  0.6730  0.5000  1.04
Ce  0.3365  0.3270  0.5000  1.04
Ho  0.5777  0.3321  0.7528  0.05
Ho  0.4223  0.6679  0.2472  0.05
Ho  0.2423  0.0000  0.7497  0.04
Ho  0.0902  0.3321  0.2472  0.05
Ho  0.7577  0.0000  0.2503  0.04
Ho  0.9098  0.6679  0.7528  0.05

Results
Total magnetization ... 1.6 μB per formula unit



Entry x
A relaxed CeHo3Th crystal, computed with PBE.

Unit cell a=5.0100 b=7.0470 c=17.6467 alpha=90.00 beta=90.00 gamma=90.00
Each line ends with the local moment (μB).
Sites, in units of the cell vectors:
Ho  0.7500  0.3833  0.6488  0.00
Ho  0.2500  0.6167  0.3512  0.00
Ho  0.7500  0.8833  0.8512  0.00
Ho  0.2500  0.1280  0.5485  0.01
Ho  0.7500  0.3709  0.2504  0.01
Ho  0.2500  0.1167  0.1488  0.00
Ho  0.2500  0.1291  0.7504  0.01
Ho  0.7500  0.8720  0.4515  0.01
Ho  0.2500  0.6280  0.9515  0.01
Ho  0.2500  0.6291  0.7496  0.01
Ho  0.7500  0.3720  0.0485  0.01
Ho  0.7500  0.8709  0.2496  0.01
Ce  0.7500  0.3719  0.8504  0.55
Ce  0.2500  0.6281  0.1496  0.55
Ce  0.7500  0.8719  0.6496  0.55
Ce  0.2500  0.1281  0.3504  0.55
Th  0.7500  0.8703  0.0505  -0.02
Th  0.2500  0.1297  0.9495  -0.02
Th  0.2500  0.6297  0.5505  -0.02
Th  0.7500  0.3703  0.4495  -0.02

Results
Total magnetization ... 0.6 μB per formula unit



In eV/atom, relative to the most stable structure: entry w 0.392; entry x 0.000.



Entry w
A relaxed CeHoTh crystal, computed with PBE.

Unit cell a=3.5165 b=6.1093 c=8.5919 alpha=89.61 beta=90.00 gamma=90.00
Each line ends with the local moment (μB).
Sites, in units of the cell vectors:
Th  0.7500  0.7512  0.4981  0.01
Th  0.2500  0.2488  0.5019  0.01
Ho  0.2500  0.5821  0.8299  0.02
Ho  0.7500  0.4179  0.1701  0.02
Ce  0.2500  0.9233  0.1690  0.55
Ce  0.7500  0.0767  0.8310  0.55

Results
Total magnetization ... 0.7 μB per formula unit



Entry x
A relaxed CeHoTh crystal, computed with PBE.

Unit cell a=3.5326 b=3.5326 c=7.7941 alpha=103.10 beta=103.10 gamma=90.00
Sites, in units of the cell vectors:
Th  0.3305  0.3305  0.6611
Ho  0.9984  0.9984  0.9968
Ce  0.6711  0.6711  0.3422

Results
Total magnetization ... 0.0 μB per formula unit



In eV/atom, relative to the most stable structure: entry w 0.007; entry x 0.000.



Entry w
A relaxed CeHo2Th2 crystal, computed with PBE.

Unit cell a=6.0868 b=10.5381 c=9.3668 alpha=133.97 beta=70.96 gamma=132.01
Each line ends with the local moment (μB).
Sites, in units of the cell vectors:
Ho  0.2480  0.7540  0.2554  0.01
Ho  0.4509  0.7511  0.8528  0.01
Ho  0.7520  0.2460  0.7446  0.01
Ho  0.5491  0.2489  0.1472  0.01
Ce  0.0376  0.7436  0.6463  0.30
Ce  0.9624  0.2564  0.3537  0.30
Th  0.6438  0.7471  0.4529  0.01
Th  0.8444  0.7518  0.0544  0.01
Th  0.1557  0.2482  0.9456  0.01
Th  0.3562  0.2529  0.5471  0.01

Results
Total magnetization ... 0.4 μB per formula unit



Entry x
A relaxed CeHo2Th2 crystal, computed with PBE.

Unit cell a=4.4949 b=4.4949 c=8.9130 alpha=104.61 beta=104.61 gamma=90.00
Each line ends with the local moment (μB).
Sites, in units of the cell vectors:
Ho  0.7500  0.2500  0.5000  -0.03
Ho  0.2500  0.7500  0.5000  -0.03
Ce  0.0000  0.0000  0.0000  0.55
Th  0.5931  0.5931  0.1862  0.02
Th  0.4069  0.4069  0.8138  0.02

Results
Total magnetization ... 0.7 μB per formula unit



In eV/atom, relative to the most stable structure: entry w 0.000; entry x 0.391.



Entry w
A relaxed Ce4HoTh5 crystal, computed with PBE.

Unit cell a=9.9170 b=6.8288 c=9.4647 alpha=90.00 beta=90.00 gamma=90.00
Sites, in units of the cell vectors:
Ce  0.0126  0.5000  0.8568
Ce  0.5200  0.8056  0.0000
Ce  0.9874  0.0000  0.6432
Ce  0.5200  0.1944  0.0000
Ce  0.4800  0.6944  0.5000
Ce  0.9874  0.0000  0.3568
Ce  0.4800  0.3056  0.5000
Ce  0.0126  0.5000  0.1432
Th  0.7167  0.2455  0.3066
Th  0.7167  0.7545  0.6934
Th  0.2833  0.2545  0.8066
Th  0.2833  0.7455  0.8066
Th  0.2833  0.2545  0.1934
Th  0.7167  0.2455  0.6934
Th  0.7350  0.5000  0.0000
Th  0.2650  0.0000  0.5000
Th  0.7167  0.7545  0.3066
Th  0.2833  0.7455  0.1934
Ho  0.8913  0.0000  0.0000
Ho  0.1087  0.5000  0.5000

Results
Total magnetization ... 0.0 μB per formula unit



Entry x
A relaxed Ce4HoTh5 crystal, computed with PBE.

Unit cell a=3.5030 b=3.5030 c=24.4002 alpha=90.00 beta=90.00 gamma=90.00
Sites, in units of the cell vectors:
Th  0.5000  0.5000  0.3026
Th  0.5000  0.5000  0.6974
Th  0.5000  0.5000  0.8955
Th  0.5000  0.5000  0.5000
Th  0.5000  0.5000  0.1045
Ce  0.0000  0.0000  0.4012
Ce  0.0000  0.0000  0.5988
Ce  0.0000  0.0000  0.2042
Ce  0.0000  0.0000  0.7958
Ho  0.0000  0.0000  0.0000

Results
Total magnetization ... 0.0 μB per formula unit



In eV/atom, relative to the most stable structure: entry w 0.421; entry x 0.000.